1.
# LiLa2DyS5

A relaxed LiLa2DyS5 crystal (PBE, the Alexandria database).

The structure in POSCAR format:
```
LiLa2DyS5
1.0
4.0458 0.0000 0.0000
-2.0229 8.3167 0.0000
0.0000 0.0000 12.0372
S Dy La Li
10 2 4 2
Direct
0.5000 0.0001 0.7830
0.6380 0.2760 0.4994
0.0465 0.0930 0.0674
0.9535 0.9070 0.5674
0.2880 0.5760 0.6589
0.6927 0.3854 0.8483
0.3073 0.6146 0.3483
0.5000 0.9999 0.2830
0.3620 0.7240 0.9994
0.7120 0.4240 0.1589
0.1975 0.3951 0.0027
0.8025 0.6049 0.5027
0.1087 0.2173 0.6848
0.1245 0.2490 0.2991
0.8755 0.7510 0.7991
0.8913 0.7827 0.1848
0.5153 0.0305 0.9802
0.4847 0.9695 0.4802
```

Summary:
**Crystal system**: orthorhombic
**DFT total energy**: -6.12 eV/atom
**E_form (uncorrected)**: -2.011 eV per atom
**Symmetry**: No. 36

2.
# LaY2In2

A relaxed LaY2In2 crystal (PBE, the Alexandria database).

The structure in POSCAR format:
```
LaY2In2
1.0
8.8922 0.0000 0.0000
0.0000 8.8922 0.0000
0.0000 0.0000 3.7775
In La Y
4 2 4
Direct
0.3766 0.8766 0.0000
0.1234 0.3766 0.0000
0.8766 0.6234 0.0000
0.6234 0.1234 0.0000
0.5000 0.5000 0.0000
0.0000 0.0000 0.0000
0.8254 0.3254 0.5000
0.6746 0.8254 0.5000
0.1746 0.6746 0.5000
0.3254 0.1746 0.5000
```

Summary:
**ΔE to the lowest computed polymorph**: 0.00 eV/f.u.
**Crystal system**: tetragonal
**DFT total energy**: -5.06 eV/atom
**Formation energy from the elements**: -391 meV/atom
**Symmetry**: No. 127

3.
# K2TlH6Ir

A relaxed K2TlH6Ir crystal (PBE, the Alexandria database).

The structure in POSCAR format:
```
K2TlH6Ir
1.0
-6.2705 1.0701 1.8755
-0.7726 -5.6550 0.6435
1.8612 3.1652 4.4167
H Tl Ir K
6 1 1 2
Direct
0.8500 0.7239 0.8619
0.8500 0.1381 0.8619
0.1500 0.8619 0.1381
0.8500 0.1381 0.2761
0.1500 0.8619 0.7239
0.1500 0.2761 0.1381
0.5000 0.0000 0.0000
0.0000 0.0000 0.0000
0.1338 0.3333 0.6667
0.8662 0.6667 0.3333
```

Summary:
**Crystal system**: trigonal
**DFT total energy**: -3.57 eV/atom
**Symmetry**: No. 164

4.
# OsCl2F

A relaxed OsCl2F crystal (PBE, the Alexandria database).

The structure in POSCAR format:
```
OsCl2F
1.0
6.5646 0.0000 0.0000
0.0000 6.5646 0.0000
3.2823 3.2823 3.5879
Cl Os F
4 2 2
Direct
0.8750 0.9363 0.7500
0.6863 0.1250 0.2500
0.0637 0.6250 0.2500
0.3750 0.3137 0.7500
0.0000 0.0000 0.0000
0.7500 0.2500 0.5000
0.2500 0.7500 0.5000
0.5000 0.5000 0.0000
```

Summary:
**ΔE to the lowest computed polymorph**: 0.31 eV/f.u.
**Crystal system**: tetragonal
**DFT total energy**: -4.03 eV/atom
**E_form (uncorrected)**: 0.171 eV per atom
**Symmetry**: No. 122

5.
# K3PmTh2Se6

A relaxed K3PmTh2Se6 crystal (PBE, the Alexandria database).

The structure in POSCAR format:
```
K3PmTh2Se6
1.0
-5.6300 -1.1028 4.6501
6.7585 -2.4069 1.7508
1.1553 7.9965 1.3398
Se K Th Pm
6 3 2 1
Direct
0.0719 0.4090 0.2155
0.7348 0.7348 0.2155
0.4090 0.0719 0.2155
0.5910 0.9281 0.7845
0.2652 0.2652 0.7845
0.9281 0.5910 0.7845
0.5000 0.5000 0.5000
0.8344 0.1656 0.5000
0.1656 0.8344 0.5000
0.6667 0.3333 0.0000
0.3333 0.6667 0.0000
0.0000 0.0000 0.0000
```

Summary:
**Crystal system**: monoclinic
**DFT total energy**: -5.26 eV/atom
**E_form (uncorrected)**: -1.614 eV per atom
**Symmetry**: No. 12

6.
# SrCoRe2Pt

A relaxed SrCoRe2Pt crystal (PBE, the Alexandria database).

The structure in POSCAR format:
```
SrCoRe2Pt
1.0
-2.6825 2.6987 -2.8118
-3.2811 -0.1738 2.9634
1.6970 3.8817 2.1066
Re Co Pt Sr
2 1 1 1
Direct
0.5000 0.0000 0.0000
0.0000 0.0000 0.5000
0.0000 0.5000 0.0000
0.5000 0.5000 0.5000
0.0000 0.0000 0.0000
```

Summary:
**Crystal system**: tetragonal
**DFT total energy**: -4.68 eV/atom
**Formation energy from the elements**: 3270 meV/atom
**Symmetry**: No. 123

7.
# Li2AuCl

A relaxed Li2AuCl crystal (PBE, the Alexandria database).

The structure in POSCAR format:
```
Li2AuCl
1.0
0.0000 3.3346 3.3346
3.3346 0.0000 3.3346
3.3346 3.3346 0.0000
Li Au Cl
2 1 1
Direct
0.2500 0.2500 0.2500
0.7500 0.7500 0.7500
0.5000 0.5000 0.5000
0.0000 0.0000 0.0000
```

Summary:
**ΔE to the lowest computed polymorph**: 0.95 eV/f.u.
**Crystal system**: cubic
**DFT total energy**: -3.01 eV/atom
**E_form (uncorrected)**: -0.770 eV per atom
**Symmetry**: No. 225

8.
# SiAgHg2

A relaxed SiAgHg2 crystal (PBE, the Alexandria database).

The structure in POSCAR format:
```
SiAgHg2
1.0
-2.8486 2.9339 1.0847
-2.4750 -1.2169 -3.2082
-7.0991 -5.6247 4.8206
Ag Hg Si
2 4 2
Direct
0.7500 0.2500 0.5000
0.0000 0.0000 0.0000
0.3750 0.3778 0.7500
0.1278 0.6250 0.2500
0.8750 0.8722 0.7500
0.6222 0.1250 0.2500
0.2500 0.7500 0.5000
0.5000 0.5000 0.0000
```

Summary:
**Crystal system**: tetragonal
**DFT total energy**: -1.83 eV/atom
**E_form (uncorrected)**: 0.388 eV per atom
**Symmetry**: No. 122

9.
# RbYCo3

A relaxed RbYCo3 crystal (PBE, the Alexandria database).

The structure in POSCAR format:
```
RbYCo3
1.0
4.6331 0.0000 0.0000
0.0000 4.6331 0.0000
0.0000 0.0000 4.6331
Co Rb Y
3 1 1
Direct
0.0000 0.5000 0.0000
0.5000 0.0000 0.0000
0.0000 0.0000 0.5000
0.0000 0.0000 0.0000
0.5000 0.5000 0.5000
```

Summary:
**ΔE to the lowest computed polymorph**: 2.16 eV/f.u.
**Crystal system**: cubic
**DFT total energy**: -3.82 eV/atom
**Formation energy from the elements**: 1934 meV/atom
**Symmetry**: No. 221

10.
# HfGeP3

A relaxed HfGeP3 crystal (PBE, the Alexandria database).

The structure in POSCAR format:
```
HfGeP3
1.0
4.6059 0.0000 0.0000
0.0000 4.6059 0.0000
0.0000 0.0000 4.6059
P Hf Ge
3 1 1
Direct
0.0000 0.5000 0.0000
0.5000 0.0000 0.0000
0.0000 0.0000 0.5000
0.5000 0.5000 0.5000
0.0000 0.0000 0.0000
```

Summary:
**ΔE to the lowest computed polymorph**: 1.08 eV/f.u.
**Crystal system**: cubic
**DFT total energy**: -5.47 eV/atom
**Formation energy from the elements**: 692 meV/atom
**Symmetry**: No. 221

11.
# SbTe2As

A relaxed SbTe2As crystal (PBE, the Alexandria database).

The structure in POSCAR format:
```
SbTe2As
1.0
0.0000 3.7239 3.7239
3.7239 0.0000 3.7239
3.7239 3.7239 0.0000
As Te Sb
1 2 1
Direct
0.0000 0.0000 0.0000
0.2500 0.2500 0.2500
0.7500 0.7500 0.7500
0.5000 0.5000 0.5000
```

Summary:
**ΔE to the lowest computed polymorph**: 1.07 eV/f.u.
**Crystal system**: cubic
**DFT total energy**: -3.44 eV/atom
**E_form (uncorrected)**: 0.322 eV per atom
**Symmetry**: No. 225

12.
# KIrSe2

A relaxed KIrSe2 crystal (PBE, the Alexandria database).

The structure in POSCAR format:
```
KIrSe2
1.0
8.8037 0.0000 -0.0057
0.0000 3.6709 0.0000
-4.0095 0.0000 12.8161
Se K Ir
8 4 4
Direct
0.8148 0.0000 0.8516
0.1852 0.5000 0.6484
0.5378 0.0000 0.1256
0.8148 0.5000 0.3516
0.4622 0.0000 0.8744
0.4622 0.5000 0.3744
0.5378 0.5000 0.6256
0.1852 0.0000 0.1484
0.8451 0.0000 0.5865
0.8451 0.5000 0.0865
0.1549 0.5000 0.9135
0.1549 0.0000 0.4135
0.6083 0.0000 0.3190
0.3917 0.0000 0.6810
0.6083 0.5000 0.8190
0.3917 0.5000 0.1810
```

Summary:
**Crystal system**: monoclinic
**DFT total energy**: -4.74 eV/atom
**E_form (uncorrected)**: -0.508 eV per atom
**Symmetry**: No. 12

13.
# LiVZn

A relaxed LiVZn crystal (PBE, the Alexandria database).

The structure in POSCAR format:
```
LiVZn
1.0
-3.9956 0.0749 2.1838
2.1505 -3.1903 6.7274
0.0340 2.1456 1.5069
Li Zn V
2 2 2
Direct
0.7003 0.6813 0.5082
0.1846 0.8358 0.2381
0.6941 0.3603 0.1825
0.2023 0.5003 0.8807
0.1768 0.1621 0.6080
0.6560 0.0611 0.7932
```

Summary:
**ΔE to the lowest computed polymorph**: 0.38 eV/f.u.
**Crystal system**: triclinic
**DFT total energy**: -3.97 eV/atom
**Formation energy from the elements**: 134 meV/atom
**Symmetry**: No. 1

14.
# Sr2GaCuI

A relaxed Sr2GaCuI crystal (PBE, the Alexandria database).

The structure in POSCAR format:
```
Sr2GaCuI
1.0
6.0616 0.0000 0.0000
0.0000 6.0616 0.0000
0.0000 0.0000 4.5342
Sr I Cu Ga
2 1 1 1
Direct
0.5000 0.0000 0.0000
0.0000 0.5000 0.0000
0.5000 0.5000 0.5000
0.0000 0.0000 0.0000
0.0000 0.0000 0.5000
```

Summary:
**Crystal system**: tetragonal
**DFT total energy**: -2.93 eV/atom
**E_form (uncorrected)**: -0.522 eV per atom
**Symmetry**: No. 123

15.
# BeCoNi3

A relaxed BeCoNi3 crystal (PBE, the Alexandria database).

The structure in POSCAR format:
```
BeCoNi3
1.0
4.2147 0.0000 0.0000
0.0000 4.2147 0.0000
0.0000 0.0000 4.2147
Ni Be Co
3 1 1
Direct
0.5000 0.0000 0.0000
0.0000 0.0000 0.5000
0.0000 0.5000 0.0000
0.5000 0.5000 0.5000
0.0000 0.0000 0.0000
```

Summary:
**ΔE to the lowest computed polymorph**: 3.59 eV/f.u.
**Crystal system**: cubic
**DFT total energy**: -4.44 eV/atom
**Formation energy from the elements**: 1191 meV/atom
**Symmetry**: No. 221

16.
# YBe2Sb

A relaxed YBe2Sb crystal (PBE, the Alexandria database).

The structure in POSCAR format:
```
YBe2Sb
1.0
-0.9442 2.9369 -1.5504
-2.2694 0.5983 2.5154
4.3688 3.0964 3.2051
Y Be Sb
1 2 1
Direct
0.5000 0.5000 0.7500
0.0000 0.0000 0.0670
0.0000 0.0000 0.4330
0.5000 0.5000 0.2500
```

Summary:
**Crystal system**: orthorhombic
**DFT total energy**: -4.34 eV/atom
**E_form (uncorrected)**: 0.166 eV per atom
**Symmetry**: No. 47

17.
# La2Pm2NdSm2

A relaxed La2Pm2NdSm2 crystal (PBE, the Alexandria database).

The structure in POSCAR format:
```
La2Pm2NdSm2
1.0
5.1984 0.0000 0.0000
-2.5992 5.8131 0.2909
0.0000 -1.5534 8.0831
Pm Sm La Nd
2 2 2 1
Direct
0.7155 0.4310 0.1408
0.2845 0.5690 0.8592
0.5710 0.1420 0.7163
0.4290 0.8580 0.2837
0.8574 0.7148 0.5729
0.1426 0.2852 0.4271
0.0000 0.0000 0.0000
```

Summary:
**Crystal system**: monoclinic
**DFT total energy**: -4.77 eV/atom
**Formation energy from the elements**: 20 meV/atom
**Symmetry**: No. 12

18.
# Ba2DyP2N6

A relaxed Ba2DyP2N6 crystal (PBE, the Alexandria database).

The structure in POSCAR format:
```
Ba2DyP2N6
1.0
5.8820 0.0000 0.0000
2.9410 5.0940 0.0000
2.9410 1.6980 6.1387
P Dy Ba N
2 1 2 6
Direct
0.4143 0.4143 0.7570
0.5857 0.5857 0.2430
0.0000 0.0000 0.0000
0.7871 0.7871 0.6388
0.2129 0.2129 0.3612
0.2599 0.2599 0.7551
0.7401 0.2748 0.2449
0.7252 0.2599 0.7551
0.2599 0.7252 0.7551
0.2748 0.7401 0.2449
0.7401 0.7401 0.2449
```

Summary:
**Crystal system**: trigonal
**DFT total energy**: -7.16 eV/atom
**E_form (uncorrected)**: -0.864 eV per atom
**Symmetry**: No. 166

19.
# AcPrHo

A relaxed AcPrHo crystal (PBE, the Alexandria database).

The structure in POSCAR format:
```
AcPrHo
1.0
3.6286 0.0000 0.0000
0.0000 5.9454 0.0000
0.0000 -2.9727 5.1488
Pr Ac Ho
1 1 1
Direct
0.6668 0.6667 0.3333
0.1659 0.0000 0.0000
0.1673 0.3333 0.6667
```

Summary:
**ΔE to the lowest computed polymorph**: 0.27 eV/f.u.
**Crystal system**: hexagonal
**DFT total energy**: -4.37 eV/atom
**Formation energy from the elements**: 118 meV/atom
**Symmetry**: No. 187

20.
# Ba3Cd2Ga3

A relaxed Ba3Cd2Ga3 crystal (PBE, the Alexandria database).

The structure in POSCAR format:
```
Ba3Cd2Ga3
1.0
5.1283 0.0000 0.0000
-2.5641 5.8570 0.0000
0.0000 0.0000 16.7280
Ba Ga Cd
6 6 4
Direct
0.8893 0.7786 0.1082
0.1107 0.2214 0.6082
0.5962 0.1924 0.2500
0.8893 0.7786 0.3918
0.1107 0.2214 0.8918
0.4038 0.8076 0.7500
0.6021 0.2042 0.0340
0.3979 0.7958 0.5340
0.6021 0.2042 0.4660
0.2988 0.5976 0.2500
0.7012 0.4024 0.7500
0.3979 0.7958 0.9660
0.8075 0.6149 0.5952
0.8075 0.6149 0.9048
0.1925 0.3851 0.4048
0.1925 0.3851 0.0952
```

Summary:
**Crystal system**: orthorhombic
**DFT total energy**: -2.44 eV/atom
**Formation energy from the elements**: -354 meV/atom
**Symmetry**: No. 63

21.
# Pm6Sb3As2Pb

A relaxed Pm6Sb3As2Pb crystal (PBE, the Alexandria database).

The structure in POSCAR format:
```
Pm6Sb3As2Pb
1.0
-2.6317 0.6766 -3.4534
2.7180 -7.6716 -3.5744
-6.2249 -3.0855 6.9350
Pm As Pb Sb
6 2 1 3
Direct
0.6711 0.1008 0.3422
0.3292 0.4242 0.6583
0.0072 0.2602 0.0144
0.9928 0.7398 0.9856
0.3289 0.8992 0.6578
0.6708 0.5758 0.3417
0.1689 0.3376 0.3377
0.8311 0.6624 0.6623
0.5000 0.0000 0.0000
0.5000 0.5000 0.0000
0.8368 0.1655 0.6735
0.1632 0.8345 0.3265
```

Summary:
**Crystal system**: monoclinic
**DFT total energy**: -5.64 eV/atom
**E_form (uncorrected)**: -1.149 eV per atom
**Symmetry**: No. 12

22.
# LiSc2Ni

A relaxed LiSc2Ni crystal (PBE, the Alexandria database).

The structure in POSCAR format:
```
LiSc2Ni
1.0
4.5611 -0.0103 0.0000
0.0078 4.5611 0.0000
0.0000 0.0000 3.3338
Sc Li Ni
2 1 1
Direct
0.5000 0.5000 0.0000
0.0000 0.0000 0.0000
0.5000 0.0000 0.5000
0.0000 0.5000 0.5000
```

Summary:
**Crystal system**: tetragonal
**DFT total energy**: -5.25 eV/atom
**Formation energy from the elements**: -156 meV/atom
**Symmetry**: No. 123

23.
# TlCdW

A relaxed TlCdW crystal (PBE, the Alexandria database).

The structure in POSCAR format:
```
TlCdW
1.0
7.8079 0.0110 0.0000
6.7138 3.9860 0.0000
-7.2608 -1.9985 2.0614
Cd W Tl
1 1 1
Direct
0.0175 0.0175 0.0000
0.6599 0.6599 0.0000
0.3225 0.3225 0.0000
```

Summary:
**ΔE to the lowest computed polymorph**: 0.13 eV/f.u.
**Crystal system**: tetragonal
**DFT total energy**: -4.60 eV/atom
**Formation energy from the elements**: 811 meV/atom
**Symmetry**: No. 107

24.
# Be3Nb2Ge

A relaxed Be3Nb2Ge crystal (PBE, the Alexandria database).

The structure in POSCAR format:
```
Be3Nb2Ge
1.0
4.6562 -0.0974 -1.6175
-0.8907 4.5712 -1.6175
0.0736 0.0874 7.1090
Ge Be Nb
2 6 4
Direct
0.3344 0.3344 0.6687
0.6656 0.6656 0.3313
0.8403 0.3201 0.1604
0.1607 0.1607 0.3214
0.3201 0.8403 0.1604
0.6799 0.1597 0.8396
0.8393 0.8393 0.6786
0.1597 0.6799 0.8396
0.7539 0.7539 0.0000
0.7500 0.2500 0.5000
0.2461 0.2461 0.0000
0.2500 0.7500 0.5000
```

Summary:
**Crystal system**: orthorhombic
**DFT total energy**: -6.31 eV/atom
**Formation energy from the elements**: -325 meV/atom
**Symmetry**: No. 69